[1]
K2SiAsAu6 | PBE-GGA | optimized geometry

Lattice parameters (Å, degrees): 6.808 6.828 6.831 119.76 112.90 90.22
Element x y z (fractional)
K 0.000 0.000 0.000
K 0.412 0.506 0.018
Si 0.855 0.283 0.577
As 0.369 0.825 0.663
Au 0.521 0.058 0.543
Au 0.526 0.478 0.543
Au 0.549 0.062 0.133
Au 0.900 0.505 0.011
Au 0.982 0.519 0.461
Au 0.986 0.935 0.460

Properties
- uncorrected formation energy (eV per atom) = -0.264

[2]
K2Sn4AsAu3 | PBE-GGA | optimized geometry

Lattice parameters (Å, degrees): 4.877 4.877 11.386 90.00 90.00 90.00
Element x y z (fractional)
K 0.000 0.500 0.244
K 0.500 0.000 0.756
Sn 0.000 0.000 0.500
Sn 0.000 0.500 0.871
Sn 0.500 0.000 0.129
Sn 0.500 0.500 0.500
As 0.500 0.500 0.000
Au 0.000 0.000 0.000
Au 0.000 0.500 0.629
Au 0.500 0.000 0.371

Properties
- energy relative to the elements (meV per atom) = -280

[3]
KTe3AsAu | PBE-GGA | optimized geometry

Lattice parameters (Å, degrees): 9.456 4.241 10.152 90.00 107.88 90.00
Element x y z (fractional)
K 0.200 0.250 0.262
K 0.800 0.750 0.738
Te 0.128 0.250 0.885
Te 0.243 0.750 0.564
Te 0.465 0.750 0.160
Te 0.535 0.250 0.840
Te 0.757 0.250 0.436
Te 0.872 0.750 0.115
As 0.335 0.750 0.878
As 0.665 0.250 0.122
Au 0.055 0.250 0.600
Au 0.945 0.750 0.400

Properties
- uncorrected formation energy (eV per atom) = -0.264

[4]
KTe4As2Au | PBE-GGA | optimized geometry

Lattice parameters (Å, degrees): 6.993 6.993 6.993 123.67 107.76 98.08
Element x y z (fractional)
K 0.000 0.000 0.000
Te 0.081 0.130 0.616
Te 0.485 0.870 0.950
Te 0.515 0.465 0.384
Te 0.919 0.535 0.050
As 0.355 0.855 0.500
As 0.645 0.145 0.500
Au 0.500 0.500 0.000

Properties
- uncorrected formation energy (eV per atom) = -0.064